Record 1
A plane-wave DFT calculation with PBE-GGA was carried out for a relaxed structure of CaGa2CuSi.

It has space group Imm2 (No. 44), with a = 4.1002 Å, b = 4.1645 Å, c = 10.6267 Å, α = 90.00°, β = 90.00° and γ = 90.00°. Symmetry generates all atoms from Ca at (0.0000, 0.0000, 0.0000), Ga at (0.0000, 0.0000, 0.3834), Ga at (0.0000, 0.5000, 0.2479), Cu at (0.0000, 0.5000, 0.7375) and Si at (0.0000, 0.0000, 0.6126).

The calculation puts the uncorrected formation energy at -1.8 eV per formula unit.



Record 2
A plane-wave DFT calculation with PBE-GGA was carried out for a relaxed structure of CaGaCu2Si.

It has space group Imm2 (No. 44), with a = 4.0216 Å, b = 4.0599 Å, c = 10.5654 Å, α = 90.00°, β = 90.00° and γ = 90.00°. Symmetry generates all atoms from Ca at (0.0000, 0.0000, 0.0000), Ga at (0.0000, 0.5000, 0.7442), Cu at (0.0000, 0.0000, 0.6086), Cu at (0.0000, 0.5000, 0.2621) and Si at (0.0000, 0.0000, 0.3874).

The calculation puts the uncorrected formation energy at -1.6 eV per formula unit.



Record 3
A plane-wave DFT calculation with PBE-GGA was carried out for a relaxed structure of Ca3GaCu6Si2.

It has space group P-3m1 (No. 164), with a = 6.1119 Å, b = 6.1119 Å, c = 7.4966 Å, α = 90.00°, β = 90.00° and γ = 120.00°. Symmetry generates all atoms from Ca at (0.0000, 0.0000, 0.0000), Ca at (0.3333, 0.6667, 0.7357), Ga at (0.0000, 0.0000, 0.5000), Cu at (0.1970, 0.3939, 0.3666) and Si at (0.3333, 0.6667, 0.1243).

The calculation puts the uncorrected formation energy at -1.1 eV per formula unit.



Record 4
A plane-wave DFT calculation with PBE-GGA was carried out for a relaxed structure of CaSm2Ga2Cu2.

It has space group R-3m (No. 166, hexagonal axes), with a = 4.4469 Å, b = 4.4469 Å, c = 28.3578 Å, α = 90.00°, β = 90.00° and γ = 120.00°. Symmetry generates all atoms from Ca at (0.0000, 0.0000, 0.0000), Sm at (0.0000, 0.0000, 0.1238), Ga at (0.0000, 0.0000, 0.2618) and Cu at (0.0000, 0.0000, 0.4020).

The calculation puts the energy of formation at -0.33 eV per atom.



Record 5
A plane-wave DFT calculation with PBE-GGA was carried out for a relaxed structure of CaGaCu2Sn.

It has space group P4/mmm (No. 123), with a = 4.8419 Å, b = 4.8419 Å, c = 5.4509 Å, α = 90.00°, β = 90.00° and γ = 90.00°. Symmetry generates all atoms from Ca at (0.0000, 0.0000, 0.0000), Ga at (0.5000, 0.5000, 0.0000), Cu at (0.0000, 0.5000, 0.5000) and Sn at (0.5000, 0.5000, 0.5000).

The calculation puts the energy of formation at 0.26 eV per atom.



Record 6
A plane-wave DFT calculation with PBE-GGA was carried out for a relaxed structure of Ca2GaCu4Sn3.

It has space group P-4m2 (No. 115), with a = 4.4262 Å, b = 4.4262 Å, c = 10.5968 Å, α = 90.00°, β = 90.00° and γ = 90.00°. Symmetry generates all atoms from Ca at (0.0000, 0.5000, 0.2451), Ga at (0.0000, 0.0000, 0.5000), Cu at (0.0000, 0.0000, 0.0000), Cu at (0.0000, 0.5000, 0.6289), Cu at (0.5000, 0.5000, 0.0000), Sn at (0.0000, 0.5000, 0.8693) and Sn at (0.5000, 0.5000, 0.5000).

The calculation puts the energy of formation at -0.29 eV per atom.



Record 7
A plane-wave DFT calculation with PBE-GGA was carried out for a relaxed structure of SrCa2GaCu.

It has space group P4/mmm (No. 123), with a = 5.6447 Å, b = 5.6447 Å, c = 4.8077 Å, α = 90.00°, β = 90.00° and γ = 90.00°. Symmetry generates all atoms from Sr at (0.0000, 0.0000, 0.0000), Ca at (0.0000, 0.5000, 0.5000), Ga at (0.5000, 0.5000, 0.0000) and Cu at (0.5000, 0.5000, 0.5000).

The calculation puts the energy of formation at -0.08 eV per atom.



Record 8
A plane-wave DFT calculation with PBE-GGA was carried out for a relaxed structure of SrCaGaCu.

It has space group Amm2 (No. 38), with a = 4.4247 Å, b = 4.6760 Å, c = 10.8189 Å, α = 90.00°, β = 90.00° and γ = 90.00°. Symmetry generates all atoms from Sr at (0.0000, 0.0000, 0.0000), Ca at (0.5000, 0.0000, 0.7107), Ga at (0.5000, 0.0000, 0.3997) and Cu at (0.0000, 0.0000, 0.2972).

The calculation puts the energy of formation at -0.26 eV per atom.



Record 9
A plane-wave DFT calculation with PBE-GGA was carried out for a relaxed structure of Sr2CaGaCu.

It has space group P4/mmm (No. 123), with a = 5.9850 Å, b = 5.9850 Å, c = 4.7332 Å, α = 90.00°, β = 90.00° and γ = 90.00°. Symmetry generates all atoms from Sr at (0.0000, 0.5000, 0.0000), Ca at (0.0000, 0.0000, 0.5000), Ga at (0.5000, 0.5000, 0.5000) and Cu at (0.5000, 0.5000, 0.0000).

The calculation puts the energy of formation at -0.05 eV per atom.



Record 10
A plane-wave DFT calculation with PBE-GGA was carried out for a relaxed structure of Ca2TaGaCu.

It has space group P4/mmm (No. 123), with a = 5.7134 Å, b = 5.7134 Å, c = 4.6958 Å, α = 90.00°, β = 90.00° and γ = 90.00°. Symmetry generates all atoms from Ca at (0.0000, 0.5000, 0.0000), Ta at (0.0000, 0.0000, 0.0000), Ga at (0.5000, 0.5000, 0.5000) and Cu at (0.0000, 0.0000, 0.5000).

The calculation puts the energy of formation at 1.05 eV per atom.



Record 11
A plane-wave DFT calculation with PBE-GGA was carried out for a relaxed structure of CaTb2Ga2Cu2.

It has space group R-3m (No. 166, hexagonal axes), with a = 4.4187 Å, b = 4.4187 Å, c = 28.1685 Å, α = 90.00°, β = 90.00° and γ = 120.00°. Symmetry generates all atoms from Ca at (0.0000, 0.0000, 0.0000), Tb at (0.0000, 0.0000, 0.1240), Ga at (0.0000, 0.0000, 0.2599) and Cu at (0.0000, 0.0000, 0.4041).

The calculation puts the energy of formation at -0.34 eV per atom.



Record 12
A plane-wave DFT calculation with PBE-GGA was carried out for a relaxed structure of CaTbGaCu.

It has space group F-43m (No. 216), with a = 7.1372 Å, b = 7.1372 Å, c = 7.1372 Å, α = 90.00°, β = 90.00° and γ = 90.00°. Symmetry generates all atoms from Ca at (0.0000, 0.0000, 0.0000), Tb at (0.0000, 0.0000, 0.5000), Ga at (0.2500, 0.2500, 0.2500) and Cu at (0.2500, 0.2500, 0.7500).

The calculation puts the energy of formation at -0.33 eV per atom.